(1)
The following is a DFT calculation (PBE-GGA) of a geometry-optimized In2CuTe2 structure.

Cell lengths 7.588, 7.588, 4.971 Å; angles 90.00, 90.00, 90.00 degrees
Fractional coordinates of all 10 atoms:
In (0.358, 0.142, 0.500)
In (0.858, 0.358, 0.500)
In (0.142, 0.642, 0.500)
In (0.642, 0.858, 0.500)
Te (0.185, 0.315, 0.000)
Te (0.315, 0.815, 0.000)
Te (0.815, 0.685, 0.000)
Te (0.685, 0.185, 0.000)
Cu (0.000, 0.000, 0.000)
Cu (0.500, 0.500, 0.000)

## Properties
**Density of states at the Fermi level**: 7.0 states/eV/cell
**Space group**: P4/mbm
**M_tot**: 0.00 μB per formula unit
**V**: 28.62 A^3/atom
**Formation energy without anion corrections**: 67 meV/atom
**Energy above the lowest structure with this stoichiometry**: 0 meV/atom


(2)
The following is a DFT calculation (PBE-GGA) of a geometry-optimized InCuTe structure.

Cell lengths 6.714, 6.714, 6.714 Å; angles 151.36, 151.36, 40.94 degrees
Fractional coordinates of all 3 atoms:
In (0.363, 0.363, 0.000)
Cu (0.002, 0.002, 0.000)
Te (0.635, 0.635, 0.000)

## Properties
**Density of states at the Fermi level**: 0.8 states/eV/cell
**Space group**: I4mm
**M_tot**: 0.00 μB per formula unit
**V**: 23.12 A^3/atom
**Formation energy without anion corrections**: 171 meV/atom
**Energy above the lowest structure with this stoichiometry**: 233 meV/atom


(3)
The following is a DFT calculation (PBE-GGA) of a geometry-optimized InCuTe structure.

Cell lengths 4.310, 4.310, 4.877 Å; angles 90.00, 90.00, 120.00 degrees
Fractional coordinates of all 3 atoms:
Cu (0.000, 0.000, 0.930)
Te (0.333, 0.667, 0.788)
In (0.667, 0.333, 0.282)

## Properties
**Density of states at the Fermi level**: 0.9 states/eV/cell
**Space group**: P3m1
**M_tot**: 0.00 μB per formula unit
**V**: 26.15 A^3/atom
**Formation energy without anion corrections**: -62 meV/atom
**Energy above the lowest structure with this stoichiometry**: 0 meV/atom


(4)
The following is a DFT calculation (PBE-GGA) of a geometry-optimized InCuTe3 structure.

Cell lengths 5.229, 5.229, 5.229 Å; angles 90.00, 90.00, 90.00 degrees
Fractional coordinates of all 5 atoms:
Te (0.500, 0.000, 0.000)
Te (0.000, 0.000, 0.500)
Te (0.000, 0.500, 0.000)
Cu (0.000, 0.000, 0.000)
In (0.500, 0.500, 0.500)

## Properties
**Density of states at the Fermi level**: 5.6 states/eV/cell
**Space group**: Pm-3m
**M_tot**: 0.00 μB per formula unit
**V**: 28.59 A^3/atom
**Formation energy without anion corrections**: 221 meV/atom
**Energy above the lowest structure with this stoichiometry**: 311 meV/atom


(5)
The following is a DFT calculation (PBE-GGA) of a geometry-optimized InCuTe3 structure.

Cell lengths 4.125, 8.275, 9.820 Å; angles 95.69, 90.00, 104.43 degrees
Fractional coordinates of all 10 atoms:
In (0.055, 0.110, 0.298)
In (0.945, 0.890, 0.702)
Te (0.362, 0.723, 0.551)
Te (0.123, 0.247, 0.740)
Te (0.158, 0.316, 0.073)
Te (0.842, 0.684, 0.927)
Te (0.638, 0.277, 0.449)
Te (0.877, 0.753, 0.260)
Cu (0.642, 0.283, 0.910)
Cu (0.358, 0.717, 0.090)

## Properties
**Density of states at the Fermi level**: 1.6 states/eV/cell
**Space group**: C2/m
**M_tot**: 0.00 μB per formula unit
**V**: 32.29 A^3/atom
**Formation energy without anion corrections**: -90 meV/atom
**Energy above the lowest structure with this stoichiometry**: 0 meV/atom


(6)
The following is a DFT calculation (PBE-GGA) of a geometry-optimized In2CuTe4 structure.

Cell lengths 4.198, 7.775, 9.595 Å; angles 132.91, 102.64, 90.00 degrees
Fractional coordinates of all 7 atoms:
Te (0.622, 0.266, 0.243)
Te (0.889, 0.183, 0.778)
Te (0.378, 0.734, 0.757)
Te (0.111, 0.817, 0.222)
In (0.684, 0.717, 0.367)
In (0.316, 0.283, 0.633)
Cu (0.000, 0.000, 0.000)

## Properties
**Density of states at the Fermi level**: 2.4 states/eV/cell
**Space group**: C2/m
**M_tot**: 0.00 μB per formula unit
**V**: 31.27 A^3/atom
**Formation energy without anion corrections**: -177 meV/atom


(7)
The following is a DFT calculation (PBE-GGA) of a geometry-optimized TiInCu2Te structure.

Cell lengths 4.975, 5.164, 4.975 Å; angles 90.00, 90.00, 90.00 degrees
Site moments in Bohr magnetons follow the coordinates.
Fractional coordinates of all 5 atoms:
Te (0.000, 0.500, 0.000)  -0.03
Cu (0.500, 0.000, 0.000)  0.02
Cu (0.000, 0.000, 0.500)  -0.01
Ti (0.000, 0.000, 0.000)  0.56
In (0.500, 0.500, 0.500)  0.00

## Properties
**Density of states at the Fermi level**: 2.3 states/eV/cell
**Space group**: P4/mmm
**M_tot**: 0.67 μB per formula unit
**V**: 25.56 A^3/atom
**Formation energy without anion corrections**: 510 meV/atom


(8)
The following is a DFT calculation (PBE-GGA) of a geometry-optimized Tl2InCuTe4 structure.

Cell lengths 7.504, 6.943, 6.943 Å; angles 73.02, 57.29, 57.29 degrees
Fractional coordinates of all 8 atoms:
Te (0.440, 0.664, 0.000)
Te (0.105, 0.336, 0.000)
Te (0.560, 0.000, 0.336)
Te (0.895, 0.000, 0.664)
In (0.000, 0.000, 0.000)
Tl (0.500, 0.500, 0.500)
Tl (0.000, 0.500, 0.500)
Cu (0.500, 0.000, 0.000)

## Properties
**Density of states at the Fermi level**: 8.8 states/eV/cell
**Space group**: I-42m
**M_tot**: 0.00 μB per formula unit
**V**: 32.01 A^3/atom
**Formation energy without anion corrections**: -136 meV/atom


(9)
The following is a DFT calculation (PBE-GGA) of a geometry-optimized TlIn2CuTe4 structure.

Cell lengths 6.753, 8.127, 8.127 Å; angles 49.07, 65.45, 65.45 degrees
Fractional coordinates of all 8 atoms:
Tl (0.000, 0.000, 0.000)
Cu (0.500, 0.500, 0.500)
Te (0.163, 0.837, 0.415)
Te (0.837, 0.585, 0.163)
Te (0.585, 0.415, 0.837)
Te (0.415, 0.163, 0.585)
In (0.250, 0.250, 0.250)
In (0.750, 0.750, 0.750)

## Properties
**Density of states at the Fermi level**: 3.3 states/eV/cell
**Space group**: I-42m
**M_tot**: 0.00 μB per formula unit
**V**: 37.48 A^3/atom
**Formation energy without anion corrections**: -200 meV/atom


(10)
The following is a DFT calculation (PBE-GGA) of a geometry-optimized UIn2Cu2Te4 structure.

Cell lengths 4.251, 8.565, 8.021 Å; angles 108.77, 105.36, 90.00 degrees
Site moments in Bohr magnetons follow the coordinates.
Fractional coordinates of all 9 atoms:
Cu (0.314, 0.006, 0.628)  -0.03
Cu (0.686, 0.994, 0.372)  -0.03
In (0.134, 0.580, 0.268)  -0.01
In (0.866, 0.420, 0.732)  -0.01
U (0.000, 0.000, 0.000)  2.21
Te (0.477, 0.241, 0.954)  -0.06
Te (0.795, 0.807, 0.591)  -0.05
Te (0.205, 0.193, 0.409)  -0.05
Te (0.523, 0.759, 0.046)  -0.06

## Properties
**Density of states at the Fermi level**: 5.0 states/eV/cell
**Space group**: C2/m
**M_tot**: 2.00 μB per formula unit
**V**: 29.49 A^3/atom
**Formation energy without anion corrections**: -302 meV/atom


(11)
The following is a DFT calculation (PBE-GGA) of a geometry-optimized Y2InCuTe4 structure.

Cell lengths 4.338, 7.783, 15.287 Å; angles 90.00, 90.00, 106.18 degrees
Fractional coordinates of all 16 atoms:
Te (0.729, 0.458, 0.884)
Te (0.444, 0.888, 0.750)
Te (0.000, 0.000, 0.000)
Te (0.556, 0.112, 0.250)
Te (0.271, 0.542, 0.384)
Te (0.271, 0.542, 0.116)
Te (0.000, 0.000, 0.500)
Te (0.729, 0.458, 0.616)
Cu (0.157, 0.314, 0.250)
Cu (0.843, 0.686, 0.750)
Y (0.635, 0.270, 0.067)
Y (0.635, 0.270, 0.433)
Y (0.365, 0.730, 0.933)
Y (0.365, 0.730, 0.567)
In (0.116, 0.231, 0.750)
In (0.884, 0.769, 0.250)

## Properties
**Space group**: Cmcm
**M_tot**: 0.00 μB per formula unit
**V**: 30.98 A^3/atom
**Formation energy without anion corrections**: -938 meV/atom


(12)
The following is a DFT calculation (PBE-GGA) of a geometry-optimized Th3In4Cu2 structure.

Cell lengths 4.770, 6.080, 9.014 Å; angles 108.68, 90.00, 113.10 degrees
Fractional coordinates of all 9 atoms:
Th (0.648, 0.297, 0.674)
Th (0.352, 0.703, 0.326)
Th (0.000, 0.000, 0.000)
In (0.919, 0.838, 0.602)
In (0.713, 0.425, 0.067)
In (0.287, 0.575, 0.933)
In (0.081, 0.162, 0.398)
Cu (0.655, 0.309, 0.329)
Cu (0.345, 0.691, 0.671)

## Properties
**Density of states at the Fermi level**: 6.3 states/eV/cell
**Space group**: C2/m
**Formation energy**: -0.25 eV/atom
**M_tot**: 0.00 μB per formula unit
**V**: 25.05 A^3/atom